## CdIn2 (PBE-GGA)

Data for a geometry-optimized CdIn2 structure.

It has space group C2/m (No. 12), with a = 11.747 Å, b = 3.426 Å, c = 8.083 Å, α = 90.00°, β = 107.61° and γ = 90.00°. The distinct sites, in fractional coordinates, are Cd at (0.025, 0.000, 0.295), In at (0.144, 0.500, 0.039) and In at (0.185, 0.500, 0.626).

The value obtained for the calculated total energy is -2.11 eV per atom.

## Cd5In6 (PBE-GGA)

Data for a geometry-optimized Cd5In6 structure.

It has space group C2/m (No. 12), with a = 5.462 Å, b = 12.792 Å, c = 8.364 Å, α = 90.00°, β = 94.91° and γ = 90.00°. The distinct sites, in fractional coordinates, are Cd at (0.000, 0.000, 0.000), Cd at (0.000, 0.296, 0.000), Cd at (0.000, 0.367, 0.500), In at (0.001, 0.500, 0.800) and In at (0.015, 0.150, 0.701).

The value obtained for the calculated total energy is -1.85 eV per atom.

## Cd5In2 (PBE-GGA)

Data for a geometry-optimized Cd5In2 structure.

It has space group R-3m (No. 166, hexagonal axes), with a = 5.0437 Å, b = 5.0437 Å, c = 23.6637 Å, α = 90.00°, β = 90.00° and γ = 120.00°. The distinct sites, in fractional coordinates, are Cd at (0.0000, 0.0000, 0.0000), Cd at (0.0000, 0.0000, 0.2858), Cd at (0.0000, 0.0000, 0.4235) and In at (0.0000, 0.0000, 0.1396).

The value obtained for the calculated total energy is -1.38 eV per atom. The value obtained for the relative energy among the computed polymorphs is 19 meV per atom.

## Cd7In6 (PBE-GGA)

Data for a geometry-optimized Cd7In6 structure.

It has space group R-3m (No. 166, hexagonal axes), with a = 5.7637 Å, b = 5.7637 Å, c = 34.6845 Å, α = 90.00°, β = 90.00° and γ = 120.00°. The distinct sites, in fractional coordinates, are Cd at (0.0000, 0.0000, 0.0000), Cd at (0.0020, 0.5010, 0.4102), In at (0.0000, 0.0000, 0.1653), In at (0.0000, 0.0000, 0.3479) and In at (0.0000, 0.0000, 0.4546).

The value obtained for the calculated total energy is -1.72 eV per atom.

## CdIn2 (PBE-GGA)

Data for a geometry-optimized CdIn2 structure.

It has space group Pnma (No. 62), with a = 6.393 Å, b = 4.700 Å, c = 10.338 Å, α = 90.00°, β = 90.00° and γ = 90.00°. The distinct sites, in fractional coordinates, are Cd at (0.122, 0.250, 0.081), In at (0.125, 0.250, 0.418) and In at (0.125, 0.250, 0.750).

The value obtained for the calculated total energy is -2.10 eV per atom.

## CdIn2 (PBE-GGA)

Data for a geometry-optimized CdIn2 structure.

It has space group Immm (No. 71), with a = 3.356 Å, b = 4.592 Å, c = 10.028 Å, α = 90.00°, β = 90.00° and γ = 90.00°. The distinct sites, in fractional coordinates, are Cd at (0.000, 0.000, 0.000) and In at (0.000, 0.000, 0.336).

The value obtained for the calculated total energy is -2.10 eV per atom.

## CdIn2 (PBE-GGA)

Data for a geometry-optimized CdIn2 structure.

It has space group P6/mmm (No. 191), with a = 5.5368 Å, b = 5.5368 Å, c = 3.0001 Å, α = 90.00°, β = 90.00° and γ = 120.00°. The distinct sites, in fractional coordinates, are Cd at (0.0000, 0.0000, 0.0000) and In at (0.3333, 0.6667, 0.5000).

The value obtained for the calculated total energy is -2.06 eV per atom.

## Cd3In (PBE-GGA)

Data for a geometry-optimized Cd3In structure.

It has space group Imm2 (No. 44), with a = 3.258 Å, b = 10.927 Å, c = 5.414 Å, α = 90.00°, β = 90.00° and γ = 90.00°. The distinct sites, in fractional coordinates, are Cd at (0.000, 0.000, 0.000), Cd at (0.000, 0.256, 0.329) and In at (0.000, 0.500, 0.995).

The value obtained for the calculated total energy is -1.33 eV per atom.

## Cd3In (PBE-GGA)

Data for a geometry-optimized Cd3In structure.

It has space group Pmmn (No. 59, origin choice 2), with a = 5.181 Å, b = 7.377 Å, c = 5.094 Å, α = 90.00°, β = 90.00° and γ = 90.00°. The distinct sites, in fractional coordinates, are Cd at (0.250, 0.004, 0.174), Cd at (0.250, 0.250, 0.682) and In at (0.250, 0.750, 0.672).

The value obtained for the calculated total energy is -1.33 eV per atom.

## CdIn2 (PBE-GGA)

Data for a geometry-optimized CdIn2 structure.

It has space group Fd-3m (No. 227, origin choice 2), with a = 8.793 Å, b = 8.793 Å, c = 8.793 Å, α = 90.00°, β = 90.00° and γ = 90.00°. The distinct sites, in fractional coordinates, are Cd at (0.125, 0.125, 0.125) and In at (0.000, 0.000, 0.500).

The value obtained for the calculated total energy is -1.97 eV per atom.

## Cd3In (PBE-GGA)

Data for a geometry-optimized Cd3In structure.

It has space group Pmmm (No. 47), with a = 3.223 Å, b = 4.498 Å, c = 6.512 Å, α = 90.00°, β = 90.00° and γ = 90.00°. The distinct sites, in fractional coordinates, are Cd at (0.000, 0.000, 0.000), Cd at (0.500, 0.500, 0.242) and In at (0.000, 0.000, 0.500).

The value obtained for the calculated total energy is -1.35 eV per atom.

## Cd3In4 (PBE-GGA)

Data for a geometry-optimized Cd3In4 structure.

It has space group I4/mmm (No. 139), with a = 3.888 Å, b = 3.888 Å, c = 23.976 Å, α = 90.00°, β = 90.00° and γ = 90.00°. The distinct sites, in fractional coordinates, are Cd at (0.000, 0.000, 0.000), Cd at (0.000, 0.000, 0.283), In at (0.000, 0.000, 0.147) and In at (0.000, 0.000, 0.429).

The value obtained for the calculated total energy is -1.91 eV per atom. The value obtained for the relative energy among the computed polymorphs is 13 meV per atom.

## CdIn2 (PBE-GGA)

Data for a geometry-optimized CdIn2 structure.

It has space group I4/mcm (No. 140), with a = 7.326 Å, b = 7.326 Å, c = 5.899 Å, α = 90.00°, β = 90.00° and γ = 90.00°. The distinct sites, in fractional coordinates, are Cd at (0.000, 0.000, 0.250) and In at (0.149, 0.351, 0.000).

The value obtained for the calculated total energy is -2.08 eV per atom.

## Cd5In3 (PBE-GGA)

Data for a geometry-optimized Cd5In3 structure.

It has space group Fmmm (No. 69), with a = 6.075 Å, b = 14.187 Å, c = 18.745 Å, α = 90.00°, β = 90.00° and γ = 90.00°. The distinct sites, in fractional coordinates, are Cd at (0.000, 0.108, 0.147), Cd at (0.000, 0.153, 0.400), Cd at (0.242, 0.000, 0.500), In at (0.000, 0.000, 0.290), In at (0.000, 0.186, 0.000) and In at (0.250, 0.250, 0.250).

The value obtained for the calculated total energy is -1.54 eV per atom. The value obtained for the relative energy among the computed polymorphs is 38 meV per atom.

## Cd3In (PBE-GGA)

Data for a geometry-optimized Cd3In structure.

It has space group Pm-3m (No. 221), with a = 4.546 Å, b = 4.546 Å, c = 4.546 Å, α = 90.00°, β = 90.00° and γ = 90.00°. The distinct sites, in fractional coordinates, are Cd at (0.000, 0.000, 0.500) and In at (0.500, 0.500, 0.500).

The value obtained for the calculated total energy is -1.34 eV per atom.

## Cd3In4 (PBE-GGA)

Data for a geometry-optimized Cd3In4 structure.

It has space group P6/mmm (No. 191), with a = 5.7680 Å, b = 5.7680 Å, c = 6.3212 Å, α = 90.00°, β = 90.00° and γ = 120.00°. The distinct sites, in fractional coordinates, are Cd at (0.0000, 0.5000, 0.0000), In at (0.0000, 0.0000, 0.2606) and In at (0.3333, 0.6667, 0.5000).

The value obtained for the calculated total energy is -1.92 eV per atom. The value obtained for the relative energy among the computed polymorphs is 0 meV per atom.

## CdIn3 (PBE-GGA)

Data for a geometry-optimized CdIn3 structure.

It has space group Cmmm (No. 65), with a = 6.719 Å, b = 9.340 Å, c = 3.319 Å, α = 90.00°, β = 90.00° and γ = 90.00°. The distinct sites, in fractional coordinates, are Cd at (0.000, 0.000, 0.000), In at (0.000, 0.500, 0.000) and In at (0.250, 0.250, 0.500).

The value obtained for the calculated total energy is -2.27 eV per atom.

## Cd13In2 (PBE-GGA)

Data for a geometry-optimized Cd13In2 structure.

It has space group P-1 (No. 2), with a = 5.221 Å, b = 7.819 Å, c = 9.150 Å, α = 71.91°, β = 82.19° and γ = 86.17°. The distinct sites, in fractional coordinates, are Cd at (0.000, 0.000, 0.000), Cd at (0.136, 0.272, 0.190), Cd at (0.200, 0.400, 0.801), Cd at (0.272, 0.535, 0.398), Cd at (0.333, 0.666, 0.005), Cd at (0.400, 0.793, 0.614), Cd at (0.466, 0.936, 0.194) and In at (0.070, 0.135, 0.599).

The value obtained for the calculated total energy is -1.15 eV per atom. The value obtained for the relative energy among the computed polymorphs is 0 meV per atom.

## CdIn3 (PBE-GGA)

Data for a geometry-optimized CdIn3 structure.

It has space group Pmmm (No. 47), with a = 3.359 Å, b = 4.655 Å, c = 6.697 Å, α = 90.00°, β = 90.00° and γ = 90.00°. The distinct sites, in fractional coordinates, are Cd at (0.000, 0.000, 0.000), In at (0.000, 0.000, 0.500) and In at (0.500, 0.500, 0.244).

The value obtained for the calculated total energy is -2.26 eV per atom.

## Cd3In (PBE-GGA)

Data for a geometry-optimized Cd3In structure.

It has space group P4/mmm (No. 123), with a = 3.274 Å, b = 3.274 Å, c = 8.832 Å, α = 90.00°, β = 90.00° and γ = 90.00°. The distinct sites, in fractional coordinates, are Cd at (0.000, 0.000, 0.000), Cd at (0.500, 0.500, 0.239) and In at (0.000, 0.000, 0.500).

The value obtained for the calculated total energy is -1.35 eV per atom.

## Cd3In (PBE-GGA)

Data for a geometry-optimized Cd3In structure.

It has space group Pm-3n (No. 223), with a = 5.808 Å, b = 5.808 Å, c = 5.808 Å, α = 90.00°, β = 90.00° and γ = 90.00°. The distinct sites, in fractional coordinates, are Cd at (0.000, 0.250, 0.500) and In at (0.000, 0.000, 0.000).

The value obtained for the calculated total energy is -1.31 eV per atom.

## Cd3In (PBE-GGA)

Data for a geometry-optimized Cd3In structure.

It has space group R-3m (No. 166, hexagonal axes), with a = 3.2056 Å, b = 3.2056 Å, c = 32.0233 Å, α = 90.00°, β = 90.00° and γ = 120.00°. The distinct sites, in fractional coordinates, are Cd at (0.0000, 0.0000, 0.0000), Cd at (0.0000, 0.0000, 0.2504) and In at (0.0000, 0.0000, 0.5000).

The value obtained for the calculated total energy is -1.34 eV per atom.

## Cd4In (PBE-GGA)

Data for a geometry-optimized Cd4In structure.

It has space group I4/m (No. 87), with a = 7.262 Å, b = 7.262 Å, c = 4.443 Å, α = 90.00°, β = 90.00° and γ = 90.00°. The distinct sites, in fractional coordinates, are Cd at (0.099, 0.303, 0.000) and In at (0.000, 0.000, 0.500).

The value obtained for the calculated total energy is -1.25 eV per atom. The value obtained for the relative energy among the computed polymorphs is 0 meV per atom.

## CdIn3 (PBE-GGA)

Data for a geometry-optimized CdIn3 structure.

It has space group P4/mmm (No. 123), with a = 3.756 Å, b = 3.756 Å, c = 7.511 Å, α = 90.00°, β = 90.00° and γ = 90.00°. The distinct sites, in fractional coordinates, are Cd at (0.000, 0.000, 0.000), In at (0.000, 0.000, 0.500) and In at (0.500, 0.500, 0.240).

The value obtained for the calculated total energy is -2.26 eV per atom.

## CdIn3 (PBE-GGA)

Data for a geometry-optimized CdIn3 structure.

It has space group P-6m2 (No. 187), with a = 3.3310 Å, b = 3.3310 Å, c = 10.8908 Å, α = 90.00°, β = 90.00° and γ = 120.00°. The distinct sites, in fractional coordinates, are Cd at (0.0000, 0.0000, 0.0000), In at (0.0000, 0.0000, 0.5000) and In at (0.6667, 0.3333, 0.2414).

The value obtained for the calculated total energy is -2.26 eV per atom.

## Cd3In (PBE-GGA)

Data for a geometry-optimized Cd3In structure.

It has space group Pmmm (No. 47), with a = 3.329 Å, b = 5.057 Å, c = 6.000 Å, α = 90.00°, β = 90.00° and γ = 90.00°. The distinct sites, in fractional coordinates, are Cd at (0.000, 0.000, 0.000), Cd at (0.000, 0.500, 0.255) and In at (0.500, 0.000, 0.500).

The value obtained for the calculated total energy is -1.31 eV per atom.

## CdIn2 (PBE-GGA)

Data for a geometry-optimized CdIn2 structure.

It has space group Fm-3m (No. 225), with a = 6.980 Å, b = 6.980 Å, c = 6.980 Å, α = 90.00°, β = 90.00° and γ = 90.00°. The distinct sites, in fractional coordinates, are Cd at (0.000, 0.000, 0.000) and In at (0.250, 0.250, 0.250).

The value obtained for the calculated total energy is -2.07 eV per atom.

Number 1: energy of formation from the pure elements 0.074 eV/f.u.. Number 2: energy of formation from the pure elements 0.683 eV/f.u.. Number 3: energy of formation from the pure elements 0.382 eV/f.u.. Number 4: energy of formation from the pure elements 0.527 eV/f.u.. Number 5: energy of formation from the pure elements 0.101 eV/f.u.. Number 6: energy of formation from the pure elements 0.081 eV/f.u.. Number 7: energy of formation from the pure elements 0.221 eV/f.u.. Number 8: energy of formation from the pure elements 0.149 eV/f.u.. Number 9: energy of formation from the pure elements 0.167 eV/f.u.. Number 10: energy of formation from the pure elements 0.483 eV/f.u.. Number 11: energy of formation from the pure elements 0.086 eV/f.u.. Number 12: energy of formation from the pure elements 0.341 eV/f.u.. Number 13: energy of formation from the pure elements 0.157 eV/f.u.. Number 14: energy of formation from the pure elements 0.450 eV/f.u.. Number 15: energy of formation from the pure elements 0.137 eV/f.u.. Number 16: energy of formation from the pure elements 0.253 eV/f.u.. Number 17: energy of formation from the pure elements 0.032 eV/f.u.. Number 18: energy of formation from the pure elements 0.129 eV/f.u.. Number 19: energy of formation from the pure elements 0.079 eV/f.u.. Number 20: energy of formation from the pure elements 0.080 eV/f.u.. Number 21: energy of formation from the pure elements 0.242 eV/f.u.. Number 22: energy of formation from the pure elements 0.107 eV/f.u.. Number 23: energy of formation from the pure elements 0.151 eV/f.u.. Number 24: energy of formation from the pure elements 0.101 eV/f.u.. Number 25: energy of formation from the pure elements 0.109 eV/f.u.. Number 26: energy of formation from the pure elements 0.233 eV/f.u.. Number 27: energy of formation from the pure elements 0.176 eV/f.u..